Cu2WF11 | PBE+U | relaxed

Cell lengths 5.935, 8.312, 8.312 Å; angles 82.18, 69.08, 69.08 degrees
Site moments in Bohr magnetons follow the coordinates.
Positions (direct):
F (0.103, 0.242, 0.758)  0.07
F (0.397, 0.742, 0.258)  0.07
F (0.492, 0.027, 0.230)  0.00
F (0.249, 0.473, 0.270)  0.00
F (0.900, 0.428, 0.224)  0.04
F (0.992, 0.730, 0.527)  0.00
F (0.500, 0.500, 0.500)  -0.01
F (0.751, 0.527, 0.730)  0.00
F (0.603, 0.258, 0.742)  0.07
F (0.508, 0.973, 0.770)  0.00
F (0.100, 0.572, 0.776)  0.04
F (0.051, 0.072, 0.276)  0.04
F (0.600, 0.276, 0.072)  0.04
F (0.749, 0.770, 0.973)  0.00
F (0.897, 0.758, 0.242)  0.07
F (0.400, 0.724, 0.928)  0.04
F (0.251, 0.230, 0.027)  0.00
F (0.949, 0.928, 0.724)  0.04
F (0.449, 0.224, 0.428)  0.04
F (0.008, 0.270, 0.473)  0.00
F (0.000, 0.000, 0.000)  -0.01
F (0.551, 0.776, 0.572)  0.04
Cu (0.185, 0.864, 0.136)  0.31
Cu (0.685, 0.636, 0.364)  0.31
Cu (0.315, 0.364, 0.636)  0.31
Cu (0.815, 0.136, 0.864)  0.31
W (0.250, 0.250, 0.250)  0.00
W (0.750, 0.750, 0.750)  0.00

VASP energy = -4.443 eV per atom
Symmetry = Ibam, No. 72
Mass density = 4.83 g/cm³
D(E_F) = 0.0535 states/eV/atom